Record 1
Compound: La2TlTe
Source: Alexandria via LeMat-Bulk
Functional: meta-GGA SCAN
Structure: PBEsol geometry

a b c (Å): 4.316 4.760 6.437
angles (deg): 90.00 90.00 90.00
Element x y z (fractional)
Tl 0.876 0.500 0.500
La 0.875 0.500 0.000
La 0.375 0.000 0.500
Te 0.375 0.000 0.000

The uncorrected formation energy is -1190 meV per atom. The total magnetization is 0.00 μB/cell. As for the space-group type: No. 47. As for the volume: 132.2 Å³ per cell. The offset from the most stable computed form is 0 meV per atom.

Record 2
Compound: DyTlS2
Source: Alexandria via LeMat-Bulk
Functional: meta-GGA SCAN
Structure: PBEsol geometry

a b c (Å): 3.950 3.950 7.710
angles (deg): 75.16 75.16 60.00
Element x y z (fractional)
Tl 0.500 0.500 0.500
S 0.266 0.266 0.202
S 0.734 0.734 0.798
Dy 0.000 0.000 0.000

The uncorrected formation energy is -1680 meV per atom. The total magnetization is 0.00 μB/cell. As for the space-group type: No. 166. As for the volume: 99.5 Å³ per cell.

Record 3
Compound: K3BeFe
Source: Alexandria via LeMat-Bulk
Functional: meta-GGA SCAN
Structure: PBEsol geometry

a b c (Å): 6.139 6.139 6.139
angles (deg): 90.00 90.00 90.00
Element x y z (fractional)
K 0.000 0.500 0.000
K 0.000 0.000 0.500
K 0.500 0.000 0.000
Be 0.000 0.000 0.000
Fe 0.500 0.500 0.500

The total magnetization is 3.84 μB/cell. As for the space-group type: No. 221. As for the volume: 231.4 Å³ per cell. As for the formation energy: 1.17 eV per atom.

Record 4
Compound: CaTc2NiCl
Source: Alexandria via LeMat-Bulk
Functional: meta-GGA SCAN
Structure: PBEsol geometry

a b c (Å): 4.276 4.276 4.873
angles (deg): 90.00 90.00 90.00
Element x y z (fractional)
Tc 0.000 0.500 0.000
Tc 0.500 0.000 0.000
Cl 0.000 0.000 0.000
Ni 0.500 0.500 0.500
Ca 0.000 0.000 0.500

The uncorrected formation energy is 999 meV per atom. The total magnetization is 0.00 μB/cell. As for the space-group type: No. 123. As for the volume: 89.1 Å³ per cell.

Record 5
Compound: RbSi2PN
Source: Alexandria via LeMat-Bulk
Functional: meta-GGA SCAN
Structure: PBEsol geometry

a b c (Å): 3.381 5.277 5.277
angles (deg): 90.00 90.00 90.00
Element x y z (fractional)
Rb 0.500 0.500 0.500
P 0.000 0.000 0.000
Si 0.000 0.000 0.500
Si 0.000 0.500 0.000
N 0.500 0.000 0.000

The uncorrected formation energy is 1102 meV per atom. The total magnetization is 0.00 μB/cell. As for the space-group type: No. 123. As for the volume: 94.2 Å³ per cell.

Record 6
Compound: TcPF2
Source: Alexandria via LeMat-Bulk
Functional: meta-GGA SCAN
Structure: PBEsol geometry

a b c (Å): 3.459 3.459 8.157
angles (deg): 102.24 102.24 90.00
Element x y z (fractional)
Tc 0.000 0.000 0.000
Tc 0.250 0.750 0.500
F 0.125 0.106 0.750
F 0.356 0.875 0.250
F 0.894 0.375 0.250
F 0.625 0.644 0.750
P 0.500 0.500 0.000
P 0.750 0.250 0.500

The uncorrected formation energy is -708 meV per atom. The total magnetization is 4.51 μB/cell. As for the space-group type: No. 122. As for the volume: 93.1 Å³ per cell. The offset from the most stable computed form is 0 meV per atom.

Record 7
Compound: ReH2S
Source: Alexandria via LeMat-Bulk
Functional: meta-GGA SCAN
Structure: PBEsol geometry

a b c (Å): 3.626 3.626 3.626
angles (deg): 60.00 60.00 60.00
Element x y z (fractional)
H 0.750 0.750 0.750
H 0.250 0.250 0.250
S 0.000 0.000 0.000
Re 0.500 0.500 0.500

The total magnetization is 0.69 μB/cell. The total energy comes out at -20.495 eV per atom. As for the space-group type: No. 225. As for the volume: 33.7 Å³ per cell.

Record 8
Compound: SrMnPb2
Source: Alexandria via LeMat-Bulk
Functional: meta-GGA SCAN
Structure: PBEsol geometry

a b c (Å): 4.866 4.527 4.865
angles (deg): 89.98 90.00 90.00
Element x y z (fractional)
Pb 0.000 0.000 0.000
Pb 0.500 0.000 0.500
Mn 0.000 0.500 0.500
Sr 0.500 0.500 0.000

The total magnetization is 4.73 μB/cell. As for the space-group type: No. 123. As for the volume: 107.2 Å³ per cell. As for the formation energy: -0.26 eV per atom.

Record 9
Compound: LaAs2
Source: Alexandria via LeMat-Bulk
Functional: meta-GGA SCAN
Structure: PBEsol geometry

a b c (Å): 4.181 6.831 10.218
angles (deg): 90.00 95.96 90.00
Element x y z (fractional)
As 0.712 0.651 0.175
As 0.788 0.151 0.325
As 0.824 0.623 0.551
As 0.212 0.849 0.675
As 0.288 0.349 0.825
As 0.324 0.877 0.051
As 0.176 0.377 0.449
As 0.676 0.123 0.949
La 0.227 0.320 0.137
La 0.273 0.820 0.363
La 0.773 0.680 0.863
La 0.727 0.180 0.637

The total magnetization is 0.00 μB/cell. As for the space-group type: No. 14. As for the volume: 290.3 Å³ per cell. As for the formation energy: -1.21 eV per atom.

Record 10
Compound: Mg5Co
Source: Alexandria via LeMat-Bulk
Functional: meta-GGA SCAN
Structure: PBEsol geometry

a b c (Å): 3.128 3.128 11.699
angles (deg): 90.00 90.00 90.00
Element x y z (fractional)
Co 0.500 0.500 0.500
Mg 0.500 0.500 0.191
Mg 0.500 0.500 0.809
Mg 0.000 0.000 0.620
Mg 0.000 0.000 0.000
Mg 0.000 0.000 0.380

The total magnetization is 1.07 μB/cell. As for the space-group type: No. 123. As for the volume: 114.5 Å³ per cell. As for the formation energy: 0.05 eV per atom. The offset from the most stable computed form is 0 meV per atom.

Record 11
Compound: TlFe2CoPd
Source: Alexandria via LeMat-Bulk
Functional: meta-GGA SCAN
Structure: PBEsol geometry

a b c (Å): 4.269 4.269 4.757
angles (deg): 90.00 90.00 90.00
Element x y z (fractional)
Co 0.000 0.000 0.000
Fe 0.500 0.000 0.000
Fe 0.000 0.500 0.000
Pd 0.500 0.500 0.500
Tl 0.000 0.000 0.500

The total magnetization is 8.03 μB/cell. As for the space-group type: No. 123. As for the volume: 86.7 Å³ per cell. As for the formation energy: 0.82 eV per atom.

Record 12
Compound: K2CdPt2
Source: Alexandria via LeMat-Bulk
Functional: meta-GGA SCAN
Structure: PBEsol geometry

a b c (Å): 5.218 6.833 6.833
angles (deg): 90.00 90.00 90.00
Element x y z (fractional)
K 0.500 0.672 0.828
K 0.500 0.328 0.172
K 0.500 0.172 0.672
K 0.500 0.828 0.328
Pt 0.000 0.631 0.131
Pt 0.000 0.869 0.631
Pt 0.000 0.131 0.369
Pt 0.000 0.369 0.869
Cd 0.000 0.000 0.000
Cd 0.000 0.500 0.500

The total magnetization is 0.00 μB/cell. As for the space-group type: No. 127. As for the volume: 243.7 Å³ per cell. As for the formation energy: -0.16 eV per atom.